Run a
First-principles (PBE-GGA) data for a relaxed FeSiB3 crystal, as listed in Alexandria via LeMat-Bulk.

abc: 3.7994 3.7994 3.7994
angles: 90.00 90.00 90.00
Space group Pm-3m (No. 221)
Unique sites:
Fe (0.0000, 0.0000, 0.0000) [1 per cell]
Si (0.5000, 0.5000, 0.5000) [1 per cell]
B (0.0000, 0.0000, 0.5000) [3 per cell]

Summary:
mass density	3.523	Mg/m³
V	55	Å³/cell

***

Run b
First-principles (PBE-GGA) data for a relaxed FeSiB3 crystal, as listed in Alexandria via LeMat-Bulk.

abc: 3.8653 3.8653 3.8653
angles: 90.00 90.00 90.00
Space group Pm-3m (No. 221)
Unique sites:
Fe (0.0000, 0.0000, 0.0000) [1 per cell]
Si (0.5000, 0.5000, 0.5000) [1 per cell]
B (0.0000, 0.5000, 0.5000) [3 per cell]

Summary:
mass density	3.346	Mg/m³
V	58	Å³/cell

***

Order from most stable to least stable according to the calculation: run a, run b

***

Run a
First-principles (PBE-GGA) data for a relaxed Fe3SiB crystal, as listed in Alexandria via LeMat-Bulk.

abc: 5.4556 9.4339 3.9974
angles: 90.00 90.00 90.00
Space group Cmcm (No. 63)
Unique sites:
Fe (0.0000, 0.1847, 0.2500) [4 per cell]
Fe (0.2231, 0.4079, 0.2500) [8 per cell]
Si (0.0000, 0.3334, 0.7500) [4 per cell]
B (0.0000, 0.0000, 0.0000) [4 per cell]

Summary:
mass density	6.665	Mg/m³
V	206	Å³/cell

***

Run b
First-principles (PBE-GGA) data for a relaxed Fe3SiB crystal, as listed in Alexandria via LeMat-Bulk.

abc: 4.1519 4.1519 4.1519
angles: 90.00 90.00 90.00
Space group Pm-3m (No. 221)
Unique sites:
Fe (0.0000, 0.0000, 0.5000) [3 per cell]
Si (0.0000, 0.0000, 0.0000) [1 per cell]
B (0.5000, 0.5000, 0.5000) [1 per cell]

Summary:
mass density	4.789	Mg/m³
V	72	Å³/cell

***

Order from most stable to least stable according to the calculation: run a, run b

***

Run a
First-principles (PBE-GGA) data for a relaxed SmFeB crystal, as listed in Alexandria via LeMat-Bulk.

abc: 3.5816 3.5816 7.9275
angles: 90.00 90.00 90.00
Space group P4/nmm (No. 129, origin choice 2)
Unique sites:
Sm (0.2500, 0.2500, 0.2024) [2 per cell]
Fe (0.2500, 0.7500, 0.5000) [2 per cell]
B (0.2500, 0.2500, 0.6211) [2 per cell]

Summary:
mass density	7.087	Mg/m³
V	102	Å³/cell

***

Run b
First-principles (PBE-GGA) data for a relaxed SmFeB crystal, as listed in Alexandria via LeMat-Bulk.

abc: 6.3899 3.6877 8.9642
angles: 90.00 103.83 90.00
Space group C2/m (No. 12)
Unique sites:
Sm (0.2330, 0.0000, 0.2013) [4 per cell]
Fe (0.1534, 0.5000, 0.4607) [4 per cell]
B (0.0339, 0.0000, 0.6006) [4 per cell]

Summary:
mass density	7.028	Mg/m³
V	205	Å³/cell

***

Run c
First-principles (PBE-GGA) data for a relaxed SmFeB crystal, as listed in Alexandria via LeMat-Bulk.

abc: 3.5679 3.5679 4.1504
angles: 90.00 90.00 120.00
Space group P-6m2 (No. 187)
Unique sites:
Sm (0.0000, 0.0000, 0.0000) [1 per cell]
Fe (0.6667, 0.3333, 0.5000) [1 per cell]
B (0.3333, 0.6667, 0.5000) [1 per cell]

Summary:
mass density	7.876	Mg/m³
V	46	Å³/cell

***

Order from most stable to least stable according to the calculation: run a, run b, run c

***

Run a
First-principles (PBE-GGA) data for a relaxed SrFe3B crystal, as listed in Alexandria via LeMat-Bulk.

abc: 4.7152 4.7152 4.7152
angles: 90.00 90.00 90.00
Space group Pm-3m (No. 221)
Unique sites:
Sr (0.0000, 0.0000, 0.0000) [1 per cell]
Fe (0.0000, 0.0000, 0.5000) [3 per cell]
B (0.5000, 0.5000, 0.5000) [1 per cell]

Summary:
mass density	4.213	Mg/m³
V	105	Å³/cell

***

Run b
First-principles (PBE-GGA) data for a relaxed SrFe3B crystal, as listed in Alexandria via LeMat-Bulk.

abc: 4.1176 4.1176 4.1176
angles: 90.00 90.00 90.00
Space group Pm-3m (No. 221)
Unique sites:
Sr (0.0000, 0.0000, 0.0000) [1 per cell]
Fe (0.0000, 0.5000, 0.5000) [3 per cell]
B (0.5000, 0.5000, 0.5000) [1 per cell]

Summary:
mass density	6.326	Mg/m³
V	70	Å³/cell

***

Order from most stable to least stable according to the calculation: run b, run a

***

Run a
First-principles (PBE-GGA) data for a relaxed SrFeB2 crystal, as listed in Alexandria via LeMat-Bulk.

abc: 6.0920 6.0920 6.0920
angles: 90.00 90.00 90.00
Space group Fm-3m (No. 225)
Unique sites:
Sr (0.0000, 0.0000, 0.0000) [4 per cell]
Fe (0.0000, 0.0000, 0.5000) [4 per cell]
B (0.2500, 0.2500, 0.2500) [8 per cell]

Summary:
mass density	4.850	Mg/m³
V	226	Å³/cell

***

Run b
First-principles (PBE-GGA) data for a relaxed SrFeB2 crystal, as listed in Alexandria via LeMat-Bulk.

abc: 4.6930 4.6930 11.8474
angles: 90.00 90.00 90.00
Space group I4_1/amd (No. 141, origin choice 2)
Unique sites:
Sr (0.0000, 0.2500, 0.3750) [4 per cell]
Fe (0.0000, 0.2500, 0.8750) [4 per cell]
B (0.0000, 0.0000, 0.0000) [8 per cell]

Summary:
mass density	4.202	Mg/m³
V	261	Å³/cell

***

Order from most stable to least stable according to the calculation: run b, run a

***

Run a
First-principles (PBE-GGA) data for a relaxed TaFe3B crystal, as listed in Alexandria via LeMat-Bulk.

abc: 4.5081 4.5081 4.5081
angles: 90.00 90.00 90.00
Space group Pm-3m (No. 221)
Unique sites:
Ta (0.0000, 0.0000, 0.0000) [1 per cell]
Fe (0.0000, 0.0000, 0.5000) [3 per cell]
B (0.5000, 0.5000, 0.5000) [1 per cell]

Summary:
mass density	6.512	Mg/m³
V	92	Å³/cell

***

Run b
First-principles (PBE-GGA) data for a relaxed TaFe3B crystal, as listed in Alexandria via LeMat-Bulk.

abc: 3.8079 3.8079 3.8079
angles: 90.00 90.00 90.00
Space group Pm-3m (No. 221)
Unique sites:
Ta (0.0000, 0.0000, 0.0000) [1 per cell]
Fe (0.0000, 0.5000, 0.5000) [3 per cell]
B (0.5000, 0.5000, 0.5000) [1 per cell]

Summary:
mass density	10.805	Mg/m³
V	55	Å³/cell

***

Order from most stable to least stable according to the calculation: run b, run a

***

Run a
First-principles (PBE-GGA) data for a relaxed TbFeB2 crystal, as listed in Alexandria via LeMat-Bulk.

abc: 3.4800 3.4800 14.0213
angles: 90.00 90.00 120.00
Space group R-3m (No. 166, hexagonal axes)
Unique sites:
Tb (0.0000, 0.0000, 0.0000) [3 per cell]
Fe (0.0000, 0.0000, 0.5000) [3 per cell]
B (0.0000, 0.0000, 0.1944) [6 per cell]

Summary:
mass density	8.008	Mg/m³
V	147	Å³/cell

***

Run b
First-principles (PBE-GGA) data for a relaxed TbFeB2 crystal, as listed in Alexandria via LeMat-Bulk.

abc: 6.6217 3.2039 9.1537
angles: 90.00 90.00 90.00
Space group Pnma (No. 62)
Unique sites:
Tb (0.1315, 0.2500, 0.1386) [4 per cell]
Fe (0.0043, 0.7500, 0.4026) [4 per cell]
B (0.1953, 0.2500, 0.8404) [4 per cell]
B (0.2243, 0.2500, 0.4194) [4 per cell]

Summary:
mass density	8.085	Mg/m³
V	194	Å³/cell

***

Order from most stable to least stable according to the calculation: run b, run a

***

Run a
First-principles (PBE-GGA) data for a relaxed TbFeB4 crystal, as listed in Alexandria via LeMat-Bulk.

abc: 3.1353 5.3633 7.3141
angles: 90.00 90.00 90.00
Space group Immm (No. 71)
Unique sites:
Tb (0.0000, 0.0000, 0.0000) [2 per cell]
Fe (0.0000, 0.0000, 0.5000) [2 per cell]
B (0.0000, 0.3323, 0.2497) [8 per cell]

Summary:
mass density	6.967	Mg/m³
V	123	Å³/cell

***

Run b
First-principles (PBE-GGA) data for a relaxed TbFeB4 crystal, as listed in Alexandria via LeMat-Bulk.

abc: 5.9049 11.4225 3.3900
angles: 90.00 90.00 90.00
Space group Pbam (No. 55)
Unique sites:
Tb (0.1263, 0.1503, 0.0000) [4 per cell]
Fe (0.1325, 0.4118, 0.0000) [4 per cell]
B (0.0246, 0.6899, 0.5000) [4 per cell]
B (0.1111, 0.5457, 0.5000) [4 per cell]
B (0.1397, 0.9681, 0.5000) [4 per cell]
B (0.2189, 0.8166, 0.5000) [4 per cell]

Summary:
mass density	7.495	Mg/m³
V	229	Å³/cell

***

Order from most stable to least stable according to the calculation: run b, run a

***

Run a
First-principles (PBE-GGA) data for a relaxed Fe3TcB crystal, as listed in Alexandria via LeMat-Bulk.

abc: 4.4264 4.4264 4.4264
angles: 90.00 90.00 90.00
Space group Pm-3m (No. 221)
Unique sites:
Fe (0.0000, 0.0000, 0.5000) [3 per cell]
Tc (0.0000, 0.0000, 0.0000) [1 per cell]
B (0.5000, 0.5000, 0.5000) [1 per cell]

Summary:
mass density	5.291	Mg/m³
V	87	Å³/cell

***

Run b
First-principles (PBE-GGA) data for a relaxed Fe3TcB crystal, as listed in Alexandria via LeMat-Bulk.

abc: 3.7807 3.7807 3.7807
angles: 90.00 90.00 90.00
Space group Pm-3m (No. 221)
Unique sites:
Fe (0.0000, 0.0000, 0.5000) [3 per cell]
Tc (0.5000, 0.5000, 0.5000) [1 per cell]
B (0.0000, 0.0000, 0.0000) [1 per cell]

Summary:
mass density	8.491	Mg/m³
V	54	Å³/cell

***

Order from most stable to least stable according to the calculation: run b, run a

***

Run a
First-principles (PBE-GGA) data for a relaxed FeTc2B2 crystal, as listed in Alexandria via LeMat-Bulk.

abc: 3.0587 11.0134 3.0800
angles: 90.00 90.00 90.00
Space group Cmmm (No. 65)
Unique sites:
Fe (0.0000, 0.0000, 0.0000) [2 per cell]
Tc (0.0000, 0.3610, 0.5000) [4 per cell]
B (0.0000, 0.2038, 0.0000) [4 per cell]

Summary:
mass density	8.753	Mg/m³
V	104	Å³/cell

***

Run b
First-principles (PBE-GGA) data for a relaxed FeTc2B2 crystal, as listed in Alexandria via LeMat-Bulk.

abc: 5.4285 5.4285 3.3925
angles: 90.00 90.00 90.00
Space group P4/mbm (No. 127)
Unique sites:
Fe (0.0000, 0.0000, 0.0000) [2 per cell]
Tc (0.1776, 0.3224, 0.5000) [4 per cell]
B (0.1198, 0.6198, 0.0000) [4 per cell]

Summary:
mass density	9.084	Mg/m³
V	100	Å³/cell

***

Order from most stable to least stable according to the calculation: run b, run a

***

Run a
First-principles (PBE-GGA) data for a relaxed FeTcB crystal, as listed in Alexandria via LeMat-Bulk.

abc: 4.3600 2.9259 4.8743
angles: 90.00 95.23 90.00
Space group P2_1/m (No. 11)
Unique sites:
Fe (0.1148, 0.2500, 0.1777) [2 per cell]
Tc (0.3940, 0.2500, 0.7376) [2 per cell]
B (0.1200, 0.7500, 0.4670) [2 per cell]

Summary:
mass density	8.831	Mg/m³
V	62	Å³/cell

***

Run b
First-principles (PBE-GGA) data for a relaxed FeTcB crystal, as listed in Alexandria via LeMat-Bulk.

abc: 3.0372 14.0259 3.0060
angles: 90.00 90.00 90.00
Space group Cmcm (No. 63)
Unique sites:
Fe (0.0000, 0.2060, 0.2500) [4 per cell]
Tc (0.0000, 0.4127, 0.2500) [4 per cell]
B (0.0000, 0.0375, 0.2500) [4 per cell]

Summary:
mass density	8.541	Mg/m³
V	128	Å³/cell

***

Run c
First-principles (PBE-GGA) data for a relaxed FeTcB crystal, as listed in Alexandria via LeMat-Bulk.

abc: 2.6257 2.6257 8.7513
angles: 90.00 90.00 90.00
Space group I4mm (No. 107)
Unique sites:
Fe (0.0000, 0.0000, 0.0000) [2 per cell]
Tc (0.0000, 0.0000, 0.7093) [2 per cell]
B (0.0000, 0.0000, 0.3833) [2 per cell]

Summary:
mass density	9.063	Mg/m³
V	60	Å³/cell

***

Run d
First-principles (PBE-GGA) data for a relaxed FeTcB crystal, as listed in Alexandria via LeMat-Bulk.

abc: 10.1786 3.0325 5.9928
angles: 90.00 90.00 90.00
Space group Pmma (No. 51)
Unique sites:
Fe (0.1208, 0.0000, 0.0648) [4 per cell]
Fe (0.2500, 0.0000, 0.7048) [2 per cell]
Tc (0.0461, 0.5000, 0.7199) [4 per cell]
Tc (0.2500, 0.5000, 0.3544) [2 per cell]
B (0.0896, 0.0000, 0.4453) [4 per cell]
B (0.2500, 0.5000, 0.9494) [2 per cell]

Summary:
mass density	8.869	Mg/m³
V	185	Å³/cell

***

Order from most stable to least stable according to the calculation: run d, run b, run a, run c